1.
Density functional theory data (PBE-GGA) for a relaxed LiPr2Pd3 crystal.

Properties
As for the energy relative to the lowest polymorph listed for this composition: 57 meV/atom. As for the calculated volume: 22.73 A^3/atom.

Unit cell a=4.4542 b=5.6582 c=10.8203 alpha=90.00 beta=90.00 gamma=90.00
Space group Immm (No. 71)
Unique sites:
Li (0.0000, 0.0000, 0.0000)
Pr (0.0000, 0.0000, 0.3168)
Pd (0.0000, 0.5000, 0.0000)
Pd (0.0000, 0.5000, 0.3743)

---

2.
Density functional theory data (PBE-GGA) for a relaxed LiPr2Pd2 crystal.

Properties
As for the energy relative to the lowest polymorph listed for this composition: 0 meV/atom. As for the calculated volume: 24.48 A^3/atom.

Unit cell a=7.8497 b=7.8497 c=3.9727 alpha=90.00 beta=90.00 gamma=90.00
Space group P4/mbm (No. 127)
Unique sites:
Li (0.0000, 0.0000, 0.0000)
Pr (0.1684, 0.3316, 0.5000)
Pd (0.1314, 0.6314, 0.0000)

---

Q: Which value of energy relative to the lowest polymorph listed for this composition does entry 1 give?
A: 57 meV/atom

---

Q: What is the energy relative to the lowest polymorph listed for this composition in the second record?
A: 0 meV/atom

---

Q: Among the records above, which one has the highest calculated volume?
A: LiPr2Pd2